Material: RbTlSb2
Method: DFT, SCAN
State: single point on PBEsol structure

Properties
Density   6.67 g cm⁻³
E_form (uncorrected)   -0.06 eV per atom

abc: 8.8731 8.8731 6.7489
angles: 90.00 90.00 90.00
Closest atoms and distances in Å follow each position.
Space group I-42d (No. 122)
Asymmetric unit:
1 Rb 0.0000 0.0000 0.0000 x4  2 Tl 3.37, 4 Sb 3.57
2 Tl 0.0000 0.0000 0.5000 x4  4 Sb 2.96
3 Sb 0.1995 0.2500 0.6250 x8  2 Tl 2.96

Material: BaMnIr2
Method: DFT, SCAN
State: single point on PBEsol structure

Properties
Density   10.30 g cm⁻³
ΔE to the lowest computed polymorph   0 meV/atom
Calculated formation energy   -250 meV/atom

abc: 7.5364 4.3517 6.1991
angles: 90.00 113.79 90.00
Closest atoms and distances in Å follow each position.
Space group C2/m (No. 12)
Asymmetric unit:
1 Ba 0.0000 0.0000 0.0000 x2  2 Ir 3.11
2 Mn 0.0000 0.5000 0.5000 x2  6 Ir 2.53
3 Ir 0.1828 0.0000 0.5486 x4  3 Mn 2.53, 3 Ir 2.57

Material: ZrAuBr
Method: DFT, SCAN
State: single point on PBEsol structure

Properties
Density   9.16 g cm⁻³
E_form (uncorrected)   -0.69 eV per atom

abc: 3.3303 3.3303 6.9484
angles: 90.00 90.00 120.00
Closest atoms and distances in Å follow each position.
Space group P3m1 (No. 156)
Asymmetric unit:
1 Zr 0.0000 0.0000 0.0000 x1  3 Br 2.73, 3 Au 2.82
2 Au 0.6667 0.3333 0.7039 x1  3 Zr 2.82
3 Br 0.3333 0.6667 0.2787 x1  3 Zr 2.73

Material: K2LiSb
Method: DFT, SCAN
State: single point on PBEsol structure

Properties
Density   2.20 g cm⁻³
ΔE to the lowest computed polymorph   46 meV/atom
E_form (uncorrected)   -0.47 eV per atom

abc: 4.9799 5.6096 11.1908
angles: 90.00 90.00 90.00
Closest atoms and distances in Å follow each position.
Space group Amm2 (No. 38)
Asymmetric unit:
1 K 0.0000 0.0000 0.0000 x2  2 Li 3.35
2 K 0.5000 0.0000 0.3022 x2  3 Sb 3.49-3.51
3 Li 0.0000 0.0000 0.6641 x2  2 Sb 2.55
4 Sb 0.5000 0.0000 0.6140 x2  2 Li 2.55

Material: Li2Al
Method: DFT, SCAN
State: single point on PBEsol structure

Properties
Density   1.24 g cm⁻³
Calculated formation energy   -106 meV/atom

abc: 12.0627 12.0627 12.0627
angles: 90.00 90.00 90.00
Closest atoms and distances in Å follow each position.
Space group Fd-3m (No. 227, origin choice 2)
Asymmetric unit:
1 Li 0.0000 0.0000 0.0000 x16  6 Al 2.60
2 Li 0.0759 0.3750 0.8750 x48  4 Al 2.90-2.97, 6 Li 2.99-3.13
3 Al 0.0435 0.0435 0.2065 x32  6 Li 2.60-2.90, 3 Al 2.78

Material: Zr2CrNi
Method: DFT, SCAN
State: single point on PBEsol structure

Properties
Density   7.66 g cm⁻³
ΔE to the lowest computed polymorph   23 meV/atom
Calculated formation energy   -72 meV/atom

abc: 6.3342 6.3342 6.3342
angles: 90.00 90.00 90.00
Closest atoms and distances in Å follow each position.
Space group Fm-3m (No. 225)
Asymmetric unit:
1 Zr 0.2500 0.2500 0.2500 x8  4 Cr 2.74, 4 Ni 2.74
2 Cr 0.0000 0.0000 0.0000 x4  8 Zr 2.74
3 Ni 0.0000 0.0000 0.5000 x4  8 Zr 2.74